{
  "formula": "B5C7",
  "functional": "GGA-PBE",
  "state": "relaxed",
  "relative_energy_ev_per_fu": 1.22,
  "lattice": [[4.2121, 0.0083, -5.4674], [-0.3604, 2.5804, -6.6196], [0.1901, -0.0312, 7.1113]],
  "species": ["C", "B", "C", "B", "B", "B", "C", "C", "C", "C", "C", "B"],
  "fractional_positions": [[0.5934, 0.2919, 0.3015], [0.9797, 0.3419, 0.6378], [0.5073, 0.4977, 0.0096], [0.5157, 0.1657, 0.3500], [0.1246, 0.1438, 0.9808], [0.1326, 0.7844, 0.3481], [0.9808, 0.6629, 0.3179], [0.1456, 0.4630, 0.6826], [0.6242, 0.9581, 0.6660], [0.6336, 0.6168, 0.0168], [0.5081, 0.8372, 0.6710], [0.0044, 0.9866, 0.0178]]
}

=====

{
  "formula": "Ba3Ca2Au4",
  "functional": "GGA-PBE",
  "state": "relaxed",
  "lattice": [[4.5967, 0.0000, 0.0000], [-2.2983, 6.4280, -2.9307], [0.0000, -0.2278, 10.3789]],
  "species": ["Au", "Au", "Ba", "Au", "Ba", "Au", "Ca", "Ba", "Ca"],
  "fractional_positions": [[0.2937, 0.5873, 0.9276], [0.0839, 0.1677, 0.4388], [0.6175, 0.2350, 0.7162], [0.9161, 0.8323, 0.5612], [0.3825, 0.7650, 0.2838], [0.7063, 0.4127, 0.0724], [0.3188, 0.6377, 0.6505], [0.0000, 0.0000, 0.0000], [0.6812, 0.3623, 0.3495]]
}

=====

{
  "formula": "Y4Tm2ThSc",
  "functional": "GGA-PBE",
  "state": "relaxed",
  "lattice": [[4.9738, 0.0000, 0.0000], [0.0000, 4.8030, 1.2214], [0.0001, 2.3347, 10.9021]],
  "species": ["Th", "Y", "Y", "Tm", "Y", "Tm", "Sc", "Y"],
  "fractional_positions": [[0.0000, 0.5000, 0.5000], [0.0000, 0.2532, 0.2467], [0.0000, 0.7468, 0.7533], [0.0000, 0.0000, 0.0000], [0.5000, 0.7528, 0.2471], [0.5000, 0.0000, 0.5000], [0.5000, 0.5000, 0.0000], [0.5000, 0.2472, 0.7529]]
}

=====

no.,magnetization (μB/cell),energy of formation (eV per atom)
1,0.000,0.36
2,0.000,-0.65
3,0.000,0.05